Density functional theory data (SCAN) for a PBEsol-optimized structure of KSiBr.

a b c (Å): 5.3191 5.3191 5.3191
angles (deg): 60.00 60.00 60.00
Each line ends with the local moment (μB).
Atoms (fractional coordinates):
Si (0.0000, 0.0000, 0.0000)  0.59
Br (0.5000, 0.5000, 0.5000)  0.00
K (0.2500, 0.2500, 0.2500)  0.04

Calculated values
Raw total energy   -12.278 eV per atom
Formation energy without anion corrections   0.324 eV/atom